(1)
A relaxed ThUAs crystal, computed with PBE-GGA.

polymorph energy (0 for the lowest one): 0.0 meV per atom
symmetry: F-43m

Cell lengths 4.850, 4.850, 4.850 Å; angles 60.00, 60.00, 60.00 degrees
Sites, in units of the cell vectors:
1 Th 0.250 0.250 0.250
2 U 0.750 0.750 0.750
3 As 0.000 0.000 0.000

(2)
A relaxed TmTlAs crystal, computed with PBE-GGA.

polymorph energy (0 for the lowest one): 266.1 meV per atom
symmetry: F-43m

Cell lengths 4.943, 4.943, 4.943 Å; angles 60.00, 60.00, 60.00 degrees
Sites, in units of the cell vectors:
1 As 0.250 0.250 0.250
2 Tm 0.750 0.750 0.750
3 Tl 0.000 0.000 0.000

(3)
A relaxed TmTlAs crystal, computed with PBE-GGA.

polymorph energy (0 for the lowest one): 0.0 meV per atom
symmetry: F-43m

Cell lengths 4.910, 4.910, 4.910 Å; angles 60.00, 60.00, 60.00 degrees
Sites, in units of the cell vectors:
1 As 0.250 0.250 0.250
2 Tm 0.000 0.000 0.000
3 Tl 0.750 0.750 0.750

(4)
A relaxed UTlAs crystal, computed with PBE-GGA.

polymorph energy (0 for the lowest one): 47.0 meV per atom
symmetry: F-43m

Cell lengths 4.973, 4.973, 4.973 Å; angles 60.00, 60.00, 60.00 degrees
Sites, in units of the cell vectors:
1 Tl 0.750 0.750 0.750
2 As 0.250 0.250 0.250
3 U 0.000 0.000 0.000

(5)
A relaxed UTlAs crystal, computed with PBE-GGA.

polymorph energy (0 for the lowest one): 0.0 meV per atom
symmetry: F-43m

Cell lengths 4.878, 4.878, 4.878 Å; angles 60.00, 60.00, 60.00 degrees
Sites, in units of the cell vectors:
1 As 0.000 0.000 0.000
2 Tl 0.250 0.250 0.250
3 U 0.750 0.750 0.750

(6)
A relaxed TlAs5W3 crystal, computed with PBE-GGA.

energy: -62.76 eV for the cell shown
symmetry: P6/mmm

Cell lengths 5.417, 5.417, 7.954 Å; angles 90.00, 90.00, 120.00 degrees
Sites, in units of the cell vectors:
1 As 0.333 0.667 0.770
2 As 0.000 0.000 0.500
3 As 0.667 0.333 0.230
4 As 0.667 0.333 0.770
5 As 0.333 0.667 0.230
6 W 0.500 0.000 0.500
7 W 0.000 0.500 0.500
8 W 0.500 0.500 0.500
9 Tl 0.000 0.000 0.000